Entry 1:
## YMgZr2 (PBE-GGA)

Data for crystalline YMgZr2 at its relaxed geometry.

Unit cell a=3.388 b=5.513 c=10.715 alpha=90.00 beta=90.00 gamma=90.00
Space group Imm2 (No. 44)
Unique sites:
Y: 0.000 0.000 0.000 [2 per cell]
Mg: 0.000 0.500 0.247 [2 per cell]
Zr: 0.000 0.000 0.509 [2 per cell]
Zr: 0.000 0.500 0.770 [2 per cell]

Summary:
The formation enthalpy at 0 K comes out at 156 meV/atom. The value obtained for the density is 4.907 g/cm3. For the total magnetization, the calculation gives 0.000 μB/atom.

---

Entry 2:
## CeGd2In (PBE-GGA)

Data for crystalline CeGd2In at its relaxed geometry.

Unit cell a=7.721 b=7.721 c=7.721 alpha=90.00 beta=90.00 gamma=90.00
Space group Fm-3m (No. 225)
Unique sites:
Ce: 0.000 0.000 0.000 [4 per cell]
Gd: 0.250 0.250 0.250 [8 per cell]
In: 0.000 0.000 0.500 [4 per cell]

Summary:
The formation enthalpy at 0 K comes out at -121 meV/atom. The value obtained for the density is 8.217 g/cm3. For the total magnetization, the calculation gives 4.540 μB/atom.

---

Entry 3:
## Cu2SiIr (PBE-GGA)

Data for crystalline Cu2SiIr at its relaxed geometry.

Unit cell a=8.603 b=2.928 c=4.411 alpha=90.00 beta=110.87 gamma=90.00
Space group Cm (No. 8)
Unique sites:
Cu: 0.000 0.000 0.000 [2 per cell]
Cu: 0.243 0.000 0.846 [2 per cell]
Si: 0.017 0.500 0.477 [2 per cell]
Ir: 0.283 0.500 0.375 [2 per cell]

Summary:
The raw formation energy is -185 meV per atom. The value obtained for the density is 11.113 g/cm3. For the total magnetization, the calculation gives 0.000 μB/atom.

---

Entry 4:
## LaRuSe2 (PBE-GGA)

Data for crystalline LaRuSe2 at its relaxed geometry.

Unit cell a=4.4820 b=4.4820 c=23.6481 alpha=90.00 beta=90.00 gamma=120.00
Space group R-3m (No. 166, hexagonal axes)
Unique sites:
La: 0.0000 0.0000 0.0000 [3 per cell]
Ru: 0.0000 0.0000 0.5000 [3 per cell]
Se: 0.0000 0.0000 0.3973 [6 per cell]

Summary:
The raw formation energy is -372 meV per atom. The value obtained for the density is 4.818 g/cm3. For the total magnetization, the calculation gives 0.750 μB/atom.

---

Entry 5:
## Mg7Ga (PBE-GGA)

Data for crystalline Mg7Ga at its relaxed geometry.

Unit cell a=4.407 b=4.407 c=17.994 alpha=90.00 beta=90.00 gamma=90.00
Space group I4/mmm (No. 139)
Unique sites:
Mg: 0.000 0.000 0.000 [2 per cell]
Mg: 0.000 0.000 0.248 [4 per cell]
Mg: 0.000 0.500 0.120 [8 per cell]
Ga: 0.000 0.000 0.500 [2 per cell]

Summary:
The formation enthalpy at 0 K comes out at -36 meV/atom. The value obtained for the density is 2.279 g/cm3. For the total magnetization, the calculation gives 0.000 μB/atom.

---

Entry 6:
## HfCo3Si (PBE-GGA)

Data for crystalline HfCo3Si at its relaxed geometry.

Unit cell a=4.838 b=6.762 c=8.039 alpha=90.00 beta=90.00 gamma=90.00
Space group Imma (No. 74)
Unique sites:
Hf: 0.000 0.250 0.004 [4 per cell]
Co: 0.000 0.250 0.684 [4 per cell]
Co: 0.250 0.046 0.250 [8 per cell]
Si: 0.000 0.000 0.500 [4 per cell]

Summary:
The raw formation energy is -353 meV per atom. The value obtained for the density is 9.684 g/cm3. For the total magnetization, the calculation gives 0.000 μB/atom.

---

Entry 7:
## Ge2PSe (PBE-GGA)

Data for crystalline Ge2PSe at its relaxed geometry.

Unit cell a=6.672 b=6.672 c=6.672 alpha=90.00 beta=90.00 gamma=90.00
Space group Fm-3m (No. 225)
Unique sites:
Ge: 0.250 0.250 0.250 [8 per cell]
P: 0.000 0.000 0.000 [4 per cell]
Se: 0.000 0.000 0.500 [4 per cell]

Summary:
The raw formation energy is 382 meV per atom. The value obtained for the density is 5.707 g/cm3. For the total magnetization, the calculation gives 0.000 μB/atom.

---

Entry 8:
## KHo2P2N6 (PBE-GGA)

Data for crystalline KHo2P2N6 at its relaxed geometry.

Unit cell a=6.285 b=6.372 c=6.430 alpha=116.79 beta=119.20 gamma=90.05
Space group P-1 (No. 2)
Unique sites:
K: 0.000 0.000 0.000 [1 per cell]
Ho: 0.324 0.696 0.648 [2 per cell]
P: 0.344 0.253 0.688 [2 per cell]
N: 0.090 0.331 0.596 [2 per cell]
N: 0.434 0.130 0.869 [2 per cell]
N: 0.495 0.669 0.405 [2 per cell]

Summary:
The raw formation energy is -742 meV per atom. The value obtained for the density is 4.443 g/cm3. For the total magnetization, the calculation gives 0.058 μB/atom.

---

Entry 9:
## FeAsAu3 (PBE-GGA)

Data for crystalline FeAsAu3 at its relaxed geometry.

Unit cell a=4.874 b=4.874 c=4.874 alpha=90.00 beta=90.00 gamma=90.00
Space group Pm-3m (No. 221)
Unique sites:
Fe: 0.000 0.000 0.000 [1 per cell]
As: 0.500 0.500 0.500 [1 per cell]
Au: 0.000 0.500 0.500 [3 per cell]

Summary:
The formation enthalpy at 0 K comes out at 850 meV/atom. The value obtained for the density is 10.347 g/cm3. For the total magnetization, the calculation gives 0.646 μB/atom.

---

Entry 10:
## BaTl2SnPb (PBE-GGA)

Data for crystalline BaTl2SnPb at its relaxed geometry.

Unit cell a=4.700 b=5.495 c=13.649 alpha=90.00 beta=90.00 gamma=90.00
Space group Imm2 (No. 44)
Unique sites:
Ba: 0.000 0.000 0.000 [2 per cell]
Tl: 0.000 0.000 0.619 [2 per cell]
Tl: 0.000 0.500 0.275 [2 per cell]
Sn: 0.000 0.000 0.396 [2 per cell]
Pb: 0.000 0.500 0.747 [2 per cell]

Summary:
The formation enthalpy at 0 K comes out at -248 meV/atom. The value obtained for the density is 8.215 g/cm3. For the total magnetization, the calculation gives 0.000 μB/atom.

---

Entry 11:
## LiNb3Cd (PBE-GGA)

Data for crystalline LiNb3Cd at its relaxed geometry.

Unit cell a=4.481 b=4.481 c=4.481 alpha=90.00 beta=90.00 gamma=90.00
Space group Pm-3m (No. 221)
Unique sites:
Li: 0.000 0.000 0.000 [1 per cell]
Nb: 0.000 0.000 0.500 [3 per cell]
Cd: 0.500 0.500 0.500 [1 per cell]

Summary:
The formation enthalpy at 0 K comes out at 969 meV/atom. The value obtained for the density is 7.348 g/cm3. For the total magnetization, the calculation gives 0.000 μB/atom.

---

Entry 12:
## SrNiCl (PBE-GGA)

Data for crystalline SrNiCl at its relaxed geometry.

Unit cell a=4.3191 b=4.3191 c=4.0016 alpha=90.00 beta=90.00 gamma=120.00
Space group P-6m2 (No. 187)
Unique sites:
Sr: 0.0000 0.0000 0.0000 [1 per cell]
Ni: 0.3333 0.6667 0.5000 [1 per cell]
Cl: 0.6667 0.3333 0.5000 [1 per cell]

Summary:
The raw formation energy is -470 meV per atom. The value obtained for the density is 4.669 g/cm3. For the total magnetization, the calculation gives 0.001 μB/atom.